No. 1
A plane-wave DFT calculation with PBE was carried out for a geometry-optimized La3EuFe structure.

Structure (POSCAR):
```
La3EuFe
1.0
5.525 0.000 0.000
0.000 5.525 0.000
0.000 0.000 5.525
La Eu Fe
3 1 1
Cartesian
0.000 0.000 2.763 La
0.000 2.763 0.000 La
2.763 0.000 0.000 La
2.763 2.763 2.763 Eu
0.000 0.000 0.000 Fe
```

Calculated values
SG: Pm-3m (221)
Final energy, eV for the cell shown: -33.2
ΔH_f (0 K), eV per atom: 0.06



No. 2
A plane-wave DFT calculation with PBE was carried out for a geometry-optimized LaEuFe4 structure.

Structure (POSCAR):
```
LaEuFe4
1.0
0.000 3.722 3.722
3.722 0.000 3.722
3.722 3.722 0.000
La Eu Fe
1 1 4
Cartesian
0.000 0.000 0.000 La
5.582 5.582 5.582 Eu
2.795 2.795 2.795 Fe
4.648 4.648 2.795 Fe
4.648 2.795 4.648 Fe
2.795 4.648 4.648 Fe
```

Calculated values
SG: F-43m (216)
Final energy, eV for the cell shown: -47.8
ΔH_f (0 K), eV per atom: 0.21



No. 3
A plane-wave DFT calculation with PBE was carried out for a geometry-optimized EuLu3Fe structure.

Structure (POSCAR):
```
EuLu3Fe
1.0
5.214 0.000 0.000
0.000 5.214 0.000
0.000 0.000 5.214
Eu Lu Fe
1 3 1
Cartesian
0.000 0.000 0.000 Eu
0.000 2.607 2.607 Lu
2.607 0.000 2.607 Lu
2.607 2.607 0.000 Lu
2.607 2.607 2.607 Fe
```

Calculated values
SG: Pm-3m (221)
Final energy, eV for the cell shown: -32.2
ΔH_f (0 K), eV per atom: 0.02